Record 1
A plane-wave DFT calculation with PBE was carried out for a relaxed structure of KNd2Re2N6.

a = 6.7790 Å, b = 6.2816 Å, c = 6.9022 Å
α = 113.94°, β = 82.69°, γ = 64.59°
With the nearest neighbours (Å) after each atom.
Fractional positions:
K1 0.5000 0.0000 0.5000  4 N 2.84-2.86
Nd1 0.8311 0.3549 0.7804  4 N 2.35-2.54
Nd2 0.1689 0.6451 0.2196  4 N 2.35-2.54
Re1 0.1660 0.7725 0.8159  3 N 1.79-1.85
Re2 0.8340 0.2275 0.1841  3 N 1.79-1.85
N1 0.4132 0.6989 0.9037  1 Re 1.79
N2 0.9193 0.4698 0.2134  1 Re 1.80
N3 0.1669 0.8596 0.5896  1 Re 1.85
N4 0.0807 0.5302 0.7866  1 Re 1.80
N5 0.8331 0.1404 0.4104  1 Re 1.85
N6 0.5868 0.3011 0.0963  1 Re 1.79

Calculated values
- space group = No. 2
- spin magnetization (μB/atom) = 0.0000
- formation energy (no corrections) (meV per atom) = -563

***

Record 2
A plane-wave DFT calculation with PBE was carried out for a relaxed structure of KNd2TcN4.

a = 3.5172 Å, b = 6.7647 Å, c = 12.3678 Å
α = 90.00°, β = 90.00°, γ = 105.07°
With the nearest neighbours (Å) after each atom.
Fractional positions:
K1 0.0730 0.1460 0.7500  8 N 3.04-3.29
K2 0.9270 0.8540 0.2500  8 N 3.04-3.29
Nd1 0.3732 0.7463 0.5382  6 N 2.45-2.62
Nd2 0.6268 0.2537 0.0382  6 N 2.45-2.62
Nd3 0.6268 0.2537 0.4618  6 N 2.45-2.62
Nd4 0.3732 0.7463 0.9618  6 N 2.45-2.62
Tc1 0.8078 0.6156 0.7500  4 N 1.85-2.02
Tc2 0.1922 0.3844 0.2500  4 N 1.85-2.02
N1 0.2559 0.5118 0.1168  1 Tc 1.85
N2 0.7441 0.4882 0.6168  1 Tc 1.85
N3 0.7441 0.4882 0.8832  1 Tc 1.85
N4 0.2559 0.5118 0.3832  1 Tc 1.85
N5 0.0000 0.0000 0.5000  4 Nd 2.46
N6 0.0000 0.0000 0.0000  4 Nd 2.46
N7 0.3832 0.7664 0.7500  2 Tc 2.02
N8 0.6168 0.2336 0.2500  2 Tc 2.02

Calculated values
- space group = No. 63
- spin magnetization (μB/atom) = 0.0360
- formation energy (no corrections) (meV per atom) = -699

***

Which of these has the lowest formation energy (no corrections)? KNd2TcN4